SrTc2Cl | PBE-GGA | relaxed

Energy relative to the lowest polymorph listed for this composition: 711 meV per atom
Formation energy (no corrections): 0.650 eV per atom
Energy: -5.41 eV/atom

Unit cell a=3.114 b=5.558 c=5.515 alpha=90.00 beta=90.00 gamma=90.00
Sites, in units of the cell vectors:
Cl1 0.500 0.500 0.250
Tc1 0.000 0.000 0.558
Tc2 0.000 0.000 0.942
Sr1 0.500 0.500 0.750


Sr2TcCl | PBE-GGA | relaxed

Energy relative to the lowest polymorph listed for this composition: 411 meV per atom
Formation energy (no corrections): 0.128 eV per atom
Energy: -3.77 eV/atom

Unit cell a=7.435 b=7.435 c=7.435 alpha=146.16 beta=146.16 gamma=48.60
Sites, in units of the cell vectors:
Sr1 0.250 0.750 0.500
Sr2 0.000 0.000 0.000
Cl1 0.750 0.250 0.500
Tc1 0.500 0.500 0.000


SrTc2Cl | PBE-GGA | relaxed

Energy relative to the lowest polymorph listed for this composition: 331 meV per atom
Formation energy (no corrections): 0.270 eV per atom
Energy: -5.80 eV/atom

Unit cell a=3.706 b=3.706 c=6.635 alpha=90.00 beta=90.00 gamma=90.00
Sites, in units of the cell vectors:
Tc1 0.500 0.500 0.000
Tc2 0.000 0.000 0.000
Sr1 0.000 0.500 0.500
Cl1 0.500 0.000 0.500


SrTc2Cl | PBE-GGA | relaxed

Energy relative to the lowest polymorph listed for this composition: 314 meV per atom
Formation energy (no corrections): 0.253 eV per atom
Energy: -5.81 eV/atom

Unit cell a=6.390 b=3.388 c=4.189 alpha=91.70 beta=90.00 gamma=90.00
Sites, in units of the cell vectors:
Tc1 0.000 0.456 0.532
Tc2 0.000 0.044 0.968
Sr1 0.500 0.750 0.750
Cl1 0.500 0.250 0.250


SrTc2Cl | PBE-GGA | relaxed

Energy relative to the lowest polymorph listed for this composition: 1165 meV per atom
Formation energy (no corrections): 1.104 eV per atom
Energy: -4.96 eV/atom

Unit cell a=3.030 b=3.030 c=9.232 alpha=90.00 beta=90.00 gamma=118.16
Sites, in units of the cell vectors:
Tc1 0.000 0.000 0.037
Tc2 0.000 0.000 0.463
Cl1 0.500 0.500 0.250
Sr1 0.500 0.500 0.750


SrTc2Cl | PBE-GGA | relaxed

Energy relative to the lowest polymorph listed for this composition: 869 meV per atom
Formation energy (no corrections): 0.808 eV per atom
Energy: -5.26 eV/atom

Unit cell a=6.408 b=6.408 c=2.875 alpha=90.00 beta=90.00 gamma=133.00
Sites, in units of the cell vectors:
Tc1 0.500 0.500 0.000
Tc2 0.000 0.000 0.000
Sr1 0.000 0.500 0.500
Cl1 0.500 0.000 0.500